Here is crystalline Nd3Si2O8 at its relaxed geometry from Alexandria via LeMat-Bulk. Energies are from PBE.

Computed properties:
As for the symmetry: R-3m. The calculation puts the uncorrected formation energy at -3.026 eV per atom. The value obtained for the total energy is -104.15 eV per cell. As for the density of states at the Fermi level: 3.19 states/eV per cell.

Lattice parameters (Å, degrees): 7.1951 7.1951 7.1951 44.33 44.33 44.33
Positions (direct):
Nd 0.0000 0.0000 0.0000
Nd 0.2034 0.2034 0.2034
Nd 0.7966 0.7966 0.7966
Si 0.4060 0.4060 0.4060
Si 0.5940 0.5940 0.5940
O 0.2345 0.7317 0.7317
O 0.2683 0.2683 0.7655
O 0.2683 0.7655 0.2683
O 0.3221 0.3221 0.3221
O 0.6779 0.6779 0.6779
O 0.7317 0.2345 0.7317
O 0.7317 0.7317 0.2345
O 0.7655 0.2683 0.2683